[1]
DFT (SCAN) results for Zn24Au5 at its PBEsol-relaxed geometry.

Its formation enthalpy at 0 K is -14 meV per atom.

Unit cell a=9.4457 b=9.4457 c=9.4457 alpha=90.00 beta=90.00 gamma=90.00
Closest atoms and distances in Å follow each position.
Space group I-43m (No. 217)
Unique sites:
Zn (0.0475, 0.3666, 0.6334) x24  7 Zn 2.53-2.71, 1 Au 2.66
Zn (0.0954, 0.0954, 0.7151) x24  8 Zn 2.53-2.71
Au (0.0000, 0.0000, 0.0000) x2  4 Au 2.91, 12 Zn 2.98
Au (0.1779, 0.1779, 0.1779) x8  9 Zn 2.66-2.88, 1 Au 2.91

=====

[2]
DFT (SCAN) results for K2TlPt at its PBEsol-relaxed geometry.

The energy above the lowest structure with this stoichiometry comes out at 101 meV per atom. Its formation enthalpy at 0 K is -83 meV per atom.

Unit cell a=3.7459 b=3.7459 c=9.7444 alpha=90.00 beta=90.00 gamma=90.00
Closest atoms and distances in Å follow each position.
Space group P4mm (No. 99)
Unique sites:
K (0.0000, 0.0000, 0.0000) x1  1 Pt 3.29, 4 Tl 3.57
K (0.5000, 0.5000, 0.4237) x1  1 Tl 3.23, 4 Pt 3.53
Tl (0.5000, 0.5000, 0.7550) x1  4 Pt 2.80
Pt (0.0000, 0.0000, 0.6627) x1  4 Tl 2.80

=====

[3]
DFT (SCAN) results for LaAgAs2 at its PBEsol-relaxed geometry.

Its formation enthalpy at 0 K is -508 meV per atom.

Unit cell a=6.9939 b=6.9939 c=6.9939 alpha=90.00 beta=90.00 gamma=90.00
Closest atoms and distances in Å follow each position.
Space group Fm-3m (No. 225)
Unique sites:
La (0.0000, 0.0000, 0.0000) x4  8 As 3.03
Ag (0.0000, 0.0000, 0.5000) x4  8 As 3.03
As (0.2500, 0.2500, 0.2500) x8  4 La 3.03, 4 Ag 3.03

=====

[4]
DFT (SCAN) results for TaAl2Zn at its PBEsol-relaxed geometry.

Its formation enthalpy at 0 K is 2 meV per atom.

Unit cell a=3.1954 b=3.1954 c=6.0912 alpha=90.00 beta=90.00 gamma=90.00
Closest atoms and distances in Å follow each position.
Space group P4mm (No. 99)
Unique sites:
Ta (0.0000, 0.0000, 0.0000) x1  5 Al 2.77-2.95, 4 Zn 2.80
Al (0.0000, 0.0000, 0.4850) x1  4 Zn 2.61, 4 Al 2.73
Al (0.5000, 0.5000, 0.7370) x1  4 Al 2.73, 4 Ta 2.77, 1 Zn 2.84
Zn (0.5000, 0.5000, 0.2709) x1  5 Al 2.61-2.84, 4 Ta 2.80

=====

[5]
DFT (SCAN) results for Ta2BeFe at its PBEsol-relaxed geometry.

Its formation enthalpy at 0 K is -8 meV per atom.

Unit cell a=3.9866 b=4.0089 c=6.8397 alpha=90.00 beta=90.00 gamma=90.00
Closest atoms and distances in Å follow each position.
Space group Immm (No. 71)
Unique sites:
Ta (0.0000, 0.0000, 0.2498) x4  4 Fe 2.63-2.64, 4 Be 2.63, 4 Ta 2.83
Be (0.0000, 0.5000, 0.0000) x2  8 Ta 2.63, 4 Fe 2.83
Fe (0.0000, 0.5000, 0.5000) x2  8 Ta 2.63-2.64, 4 Be 2.83

=====

[6]
DFT (SCAN) results for MnZn4S5 at its PBEsol-relaxed geometry.

The raw formation energy comes out at -93.2 kJ per mole of atoms.

Unit cell a=3.8027 b=3.8027 c=31.2910 alpha=90.00 beta=90.00 gamma=120.00
Closest atoms and distances in Å follow each position.
Space group P3m1 (No. 156)
Unique sites:
Mn (0.0000, 0.0000, 0.0000) x1  4 S 2.37
Mn (0.0000, 0.0000, 0.2032) x1  4 S 2.37
Zn (0.0000, 0.0000, 0.4026) x1  4 S 2.32-2.33
Zn (0.0000, 0.0000, 0.6006) x1  4 S 2.32-2.33
Zn (0.0000, 0.0000, 0.7984) x1  4 S 2.32-2.33
Zn (0.3333, 0.6667, 0.1006) x1  4 S 2.32-2.33
Zn (0.3333, 0.6667, 0.3038) x1  4 S 2.32-2.33
Zn (0.3333, 0.6667, 0.5016) x1  4 S 2.32-2.33
Zn (0.3333, 0.6667, 0.6995) x1  4 S 2.32-2.33
Zn (0.3333, 0.6667, 0.8972) x1  4 S 2.32-2.33
S (0.0000, 0.0000, 0.0756) x1  3 Zn 2.33, 1 Mn 2.37
S (0.0000, 0.0000, 0.2788) x1  3 Zn 2.33, 1 Mn 2.37
S (0.0000, 0.0000, 0.4769) x1  4 Zn 2.32-2.33
S (0.0000, 0.0000, 0.6748) x1  4 Zn 2.32-2.33
S (0.0000, 0.0000, 0.8726) x1  4 Zn 2.32-2.33
S (0.3333, 0.6667, 0.1746) x1  1 Zn 2.32, 3 Mn 2.37
S (0.3333, 0.6667, 0.3780) x1  4 Zn 2.32-2.33
S (0.3333, 0.6667, 0.5758) x1  4 Zn 2.32-2.33
S (0.3333, 0.6667, 0.7737) x1  4 Zn 2.32-2.33
S (0.3333, 0.6667, 0.9713) x1  1 Zn 2.32, 3 Mn 2.37

=====

Number 1: M_tot 0.000 μB/atom. Number 2: M_tot 0.010 μB/atom. Number 3: M_tot 0.000 μB/atom. Number 4: M_tot 0.000 μB/atom. Number 5: M_tot 0.388 μB/atom. Number 6: M_tot 0.500 μB/atom.